The following is a DFT calculation (PBE-GGA) of LiBeSb3 after structural relaxation.

Structure (POSCAR):
```
LiBeSb3
1.0
5.005 0.000 0.000
0.000 5.005 0.000
0.000 0.000 5.005
Li Be Sb
1 1 3
direct
0.000 0.000 0.000
0.500 0.500 0.500
0.000 0.500 0.500
0.500 0.000 0.500
0.500 0.500 0.000
```

Values from the calculation:
E above lowest polymorph: 0 meV per atom
E_form (uncorrected): 0.31 eV per atom
SG: Pm-3m (221)
M_tot: 0.00 μB per formula unit



The following is a DFT calculation (PBE-GGA) of Ca3P2F after structural relaxation.

Structure (POSCAR):
```
Ca3P2F
1.0
2.953 -6.857 0.000
2.953 6.857 0.000
-2.409 0.000 13.420
Ca P F
12 8 4
direct
0.001 0.999 0.750
0.129 0.504 0.626
0.158 0.325 0.013
0.325 0.158 0.513
0.380 0.620 0.250
0.496 0.871 0.874
0.504 0.129 0.126
0.620 0.380 0.750
0.675 0.842 0.487
0.842 0.675 0.987
0.871 0.496 0.374
0.999 0.001 0.250
0.043 0.659 0.182
0.132 0.347 0.426
0.341 0.957 0.318
0.347 0.132 0.926
0.653 0.868 0.074
0.659 0.043 0.682
0.868 0.653 0.574
0.957 0.341 0.818
0.292 0.293 0.663
0.293 0.292 0.163
0.707 0.708 0.837
0.708 0.707 0.337
```

Values from the calculation:
E_form (uncorrected): -1.76 eV per atom
SG: C2/c (15)
M_tot: 0.00 μB per formula unit



The following is a DFT calculation (PBE-GGA) of K3AsF12 after structural relaxation.

Structure (POSCAR):
```
K3AsF12
1.0
4.154 -7.295 0.000
4.154 7.295 0.000
-1.759 0.000 4.378
K As F
3 1 12
direct
0.000 0.000 0.000
0.000 0.500 0.500
0.500 0.000 0.500
0.500 0.500 0.500
0.113 0.741 0.125
0.197 0.327 0.551
0.259 0.887 0.875
0.327 0.197 0.551
0.338 0.503 0.213
0.497 0.662 0.787
0.503 0.338 0.213
0.662 0.497 0.787
0.673 0.803 0.449
0.741 0.113 0.125
0.803 0.673 0.449
0.887 0.259 0.875
```

Values from the calculation:
E_form (uncorrected): -1.66 eV per atom
SG: C2/m (12)
M_tot: 4.02 μB per formula unit



The following is a DFT calculation (PBE-GGA) of Ce3NiIr2 after structural relaxation.

Structure (POSCAR):
```
Ce3NiIr2
1.0
4.676 -4.037 0.000
4.676 4.037 0.000
-2.096 0.000 6.745
Ce Ni Ir
6 2 4
direct
0.014 0.986 0.750
0.256 0.444 0.052
0.444 0.256 0.552
0.556 0.744 0.448
0.744 0.556 0.948
0.986 0.014 0.250
0.326 0.674 0.750
0.674 0.326 0.250
0.041 0.607 0.370
0.393 0.959 0.130
0.607 0.041 0.870
0.959 0.393 0.630
```

Values from the calculation:
E above lowest polymorph: 155 meV per atom
SG: C2/c (15)
M_tot: 1.44 μB per formula unit
formation energy from the elements: -2.8 eV per formula unit



The following is a DFT calculation (PBE-GGA) of BaPtCl6 after structural relaxation.

Structure (POSCAR):
```
BaPtCl6
1.0
7.806 0.000 0.000
0.000 9.946 0.000
-2.373 0.000 5.837
Ba Pt Cl
2 2 12
direct
0.000 0.000 0.000
0.500 0.500 0.000
0.000 0.500 0.500
0.500 0.000 0.500
0.120 0.335 0.785
0.120 0.665 0.785
0.215 0.000 0.547
0.285 0.500 0.453
0.380 0.165 0.215
0.380 0.835 0.215
0.620 0.165 0.785
0.620 0.835 0.785
0.715 0.500 0.547
0.785 0.000 0.453
0.880 0.335 0.215
0.880 0.665 0.215
```

Values from the calculation:
E_form (uncorrected): -1.21 eV per atom
SG: C2/m (12)
M_tot: 0.00 μB per formula unit



The following is a DFT calculation (PBE-GGA) of LaPr7Ho12 after structural relaxation.

Structure (POSCAR):
```
LaPr7Ho12
1.0
6.052 3.494 5.411
-6.052 3.494 5.411
0.000 -6.988 5.411
La Pr Ho
1 7 12
direct
0.000 0.000 0.000
0.068 0.397 0.159
0.159 0.068 0.397
0.397 0.159 0.068
0.500 0.500 0.500
0.603 0.841 0.932
0.841 0.932 0.603
0.932 0.603 0.841
0.133 0.623 0.496
0.148 0.275 0.734
0.266 0.852 0.725
0.275 0.734 0.148
0.377 0.504 0.867
0.496 0.133 0.623
0.504 0.867 0.377
0.623 0.496 0.133
0.725 0.266 0.852
0.734 0.148 0.275
0.852 0.725 0.266
0.867 0.377 0.504
```

Values from the calculation:
E above lowest polymorph: 0 meV per atom
SG: R-3 (148)
M_tot: 0.00 μB per formula unit
formation energy from the elements: 4.5 eV per formula unit



The following is a DFT calculation (PBE-GGA) of KAc3Pa2N6 after structural relaxation.

Structure (POSCAR):
```
KAc3Pa2N6
1.0
8.294 -1.869 0.000
8.294 1.869 0.000
-1.674 0.000 7.321
K Ac Pa N
1 3 2 6
direct
0.000 0.000 0.000
0.000 0.000 0.500
0.335 0.335 0.161
0.665 0.665 0.839
0.328 0.328 0.666
0.672 0.672 0.334
0.183 0.183 0.129
0.184 0.184 0.562
0.458 0.458 0.697
0.542 0.542 0.303
0.816 0.816 0.438
0.817 0.817 0.871
```

Values from the calculation:
E_form (uncorrected): -1.14 eV per atom
SG: C2/m (12)
M_tot: 0.00 μB per formula unit



The following is a DFT calculation (PBE-GGA) of PmIn2Pb after structural relaxation.

Structure (POSCAR):
```
PmIn2Pb
1.0
4.682 0.000 0.000
0.000 4.682 0.000
0.000 0.000 4.968
Pm In Pb
1 2 1
direct
0.000 0.000 0.000
0.000 0.500 0.500
0.500 0.000 0.500
0.500 0.500 0.000
```

Values from the calculation:
E above lowest polymorph: 0 meV per atom
SG: P4/mmm (123)
M_tot: 0.00 μB per formula unit
formation energy from the elements: -1.7 eV per formula unit



The following is a DFT calculation (PBE-GGA) of LiMnSi2 after structural relaxation.

Structure (POSCAR):
```
LiMnSi2
1.0
3.739 0.000 0.000
0.000 3.739 0.000
0.000 0.000 16.917
Li Mn Si
4 4 8
direct
0.000 0.000 0.000
0.000 0.500 0.250
0.500 0.000 0.750
0.500 0.500 0.500
0.000 0.000 0.500
0.000 0.500 0.750
0.500 0.000 0.250
0.500 0.500 0.000
0.246 0.250 0.625
0.250 0.746 0.875
0.250 0.754 0.375
0.254 0.250 0.125
0.746 0.750 0.125
0.750 0.246 0.375
0.750 0.254 0.875
0.754 0.750 0.625
```

Values from the calculation:
E above lowest polymorph: 402 meV per atom
E_form (uncorrected): 0.21 eV per atom
SG: I-42d (122)
M_tot: 3.16 μB per formula unit



The following is a DFT calculation (PBE-GGA) of HoZnPtO4 after structural relaxation.

Structure (POSCAR):
```
HoZnPtO4
1.0
-3.162 3.325 4.501
3.162 -3.325 4.501
3.162 3.325 -4.501
Ho Zn Pt O
2 2 2 8
direct
0.000 0.000 0.000
0.500 0.000 0.500
0.370 0.620 0.750
0.630 0.380 0.250
0.000 0.000 0.500
0.000 0.500 0.000
0.202 0.745 0.457
0.212 0.255 0.957
0.275 0.257 0.482
0.275 0.794 0.018
0.725 0.206 0.982
0.725 0.743 0.518
0.788 0.745 0.043
0.798 0.255 0.543
```

Values from the calculation:
E_form (uncorrected): -1.66 eV per atom
SG: Imma (74)
M_tot: 0.94 μB per formula unit



The following is a DFT calculation (PBE-GGA) of KCd2Sn6 after structural relaxation.

Structure (POSCAR):
```
KCd2Sn6
1.0
4.814 0.000 0.000
0.000 4.814 0.000
0.000 0.000 11.393
K Cd Sn
1 2 6
direct
0.000 0.000 0.000
0.500 0.500 0.124
0.500 0.500 0.876
0.000 0.000 0.500
0.000 0.500 0.294
0.000 0.500 0.706
0.500 0.000 0.294
0.500 0.000 0.706
0.500 0.500 0.500
```

Values from the calculation:
SG: P4/mmm (123)
M_tot: 0.00 μB per formula unit
formation energy from the elements: -0.2 eV per formula unit



The following is a DFT calculation (PBE-GGA) of Cs2Na2CdHg after structural relaxation.

Structure (POSCAR):
```
Cs2Na2CdHg
1.0
-4.207 8.841 4.087
4.207 -8.841 4.087
4.207 8.841 -4.087
Cs Na Cd Hg
4 4 2 2
direct
0.155 0.246 0.401
0.345 0.746 0.090
0.655 0.254 0.910
0.845 0.754 0.599
0.077 0.754 0.831
0.423 0.254 0.678
0.577 0.746 0.322
0.923 0.246 0.169
0.250 0.750 0.500
0.750 0.250 0.500
0.250 0.250 0.000
0.750 0.750 0.000
```

Values from the calculation:
SG: Ibam (72)
M_tot: 0.00 μB per formula unit
formation energy from the elements: -0.5 eV per formula unit